Entry 1:
Entry from Alexandria via LeMat-Bulk: an optimized crystal structure of HgAsPt3 (GGA-PBE).

Results
symmetry	Pm-3m, No. 221
distance to the lowest polymorph of the same formula	105.1	kJ per mole of atoms
magnetic moment	0.0	μB per formula unit

Lattice parameters (Å, degrees): 4.9927 4.9927 4.9927 90.00 90.00 90.00
Fractional coordinates of all 5 atoms:
As  0.5000  0.5000  0.5000
Pt  0.0000  0.0000  0.5000
Pt  0.5000  0.0000  0.0000
Pt  0.0000  0.5000  0.0000
Hg  0.0000  0.0000  0.0000

---

Entry 2:
Entry from Alexandria via LeMat-Bulk: an optimized crystal structure of LiDyScOs (GGA-PBE).

Results
symmetry	F-43m, No. 216
total energy	-6.282	eV per atom
magnetic moment	0.0	μB per formula unit

Lattice parameters (Å, degrees): 4.7561 4.7561 4.7561 60.00 60.00 60.00
Fractional coordinates of all 4 atoms:
Sc  0.5000  0.5000  0.5000
Li  0.2500  0.2500  0.2500
Dy  0.0000  0.0000  0.0000
Os  0.7500  0.7500  0.7500

---

Entry 3:
Entry from Alexandria via LeMat-Bulk: an optimized crystal structure of CaHf2As (GGA-PBE).

Results
symmetry	I-42d, No. 122
total energy	-6.605	eV per atom
magnetic moment	0.0	μB per formula unit

Lattice parameters (Å, degrees): 8.2807 8.2807 6.5398 50.72 50.72 90.00
Fractional coordinates of all 8 atoms:
Ca  0.5000  0.5000  0.0000
As  0.0000  0.0000  0.0000
Hf  0.3750  0.3087  0.7500
Hf  0.6913  0.1250  0.2500
Hf  0.0587  0.6250  0.2500
As  0.7500  0.2500  0.5000
Ca  0.2500  0.7500  0.5000
Hf  0.8750  0.9413  0.7500